## Tm2AgBi (GGA-PBE)

Data for Tm2AgBi after structural relaxation.

a b c (Å): 4.0492 5.0320 5.0320
angles (deg): 90.00 90.00 90.00
Element x y z (fractional)
Tm (0.0000, 0.0000, 0.5000)
Tm (0.0000, 0.5000, 0.0000)
Bi (0.5000, 0.5000, 0.5000)
Ag (0.5000, 0.0000, 0.0000)

## Properties
Calculated volume = 103 Å³/cell
Density = 10.604 g/cm³
Energy = -4.3278 eV/atom

## Tm5AgBi (GGA-PBE)

Data for Tm5AgBi after structural relaxation.

a b c (Å): 6.2988 6.2988 10.2655
angles (deg): 90.50 90.50 91.16
Element x y z (fractional)
Tm (0.0431, 0.6114, 0.1608)
Tm (0.2320, 0.4168, 0.4983)
Tm (0.6114, 0.0431, 0.6608)
Tm (0.8648, 0.1352, 0.2500)
Tm (0.5832, 0.7680, 0.0017)
Tm (0.4168, 0.2320, 0.9983)
Tm (0.1352, 0.8648, 0.7500)
Tm (0.3886, 0.9569, 0.3392)
Tm (0.7680, 0.5832, 0.5017)
Tm (0.9569, 0.3886, 0.8392)
Ag (0.0000, 0.0000, 0.0000)
Ag (0.0000, 0.0000, 0.5000)
Bi (0.5142, 0.4858, 0.2500)
Bi (0.4858, 0.5142, 0.7500)

## Properties
Calculated volume = 407 Å³/cell
Density = 9.474 g/cm³
Energy = -4.2743 eV/atom

## TmAg2Bi (GGA-PBE)

Data for TmAg2Bi after structural relaxation.

a b c (Å): 4.8318 4.3771 4.3771
angles (deg): 90.00 90.00 90.00
Element x y z (fractional)
Tm (0.5000, 0.5000, 0.5000)
Bi (0.5000, 0.0000, 0.0000)
Ag (0.0000, 0.0000, 0.5000)
Ag (0.0000, 0.5000, 0.0000)

## Properties
Calculated volume = 93 Å³/cell
Density = 10.649 g/cm³
Energy = -3.7982 eV/atom

## Tm6AgBi3 (GGA-PBE)

Data for Tm6AgBi3 after structural relaxation.

a b c (Å): 6.9878 9.6046 9.6046
angles (deg): 110.44 90.00 90.00
Element x y z (fractional)
Tm (0.0996, 0.7639, 0.6336)
Tm (0.5996, 0.6336, 0.7639)
Tm (0.2403, 0.4456, 0.9021)
Tm (0.7403, 0.9021, 0.4456)
Tm (0.2860, 0.9832, 0.0168)
Tm (0.6914, 0.2503, 0.7497)
Tm (0.1914, 0.7497, 0.2503)
Tm (0.7860, 0.0168, 0.9832)
Tm (0.2403, 0.0979, 0.5544)
Tm (0.7403, 0.5544, 0.0979)
Tm (0.0996, 0.3664, 0.2361)
Tm (0.5996, 0.2361, 0.3664)
Ag (0.0623, 0.1531, 0.8469)
Ag (0.5623, 0.8469, 0.1531)
Bi (0.4940, 0.9253, 0.7159)
Bi (0.9940, 0.7159, 0.9253)
Bi (0.2778, 0.4345, 0.5655)
Bi (0.7778, 0.5655, 0.4345)
Bi (0.9940, 0.0747, 0.2841)
Bi (0.4940, 0.2841, 0.0747)

## Properties
Calculated volume = 604 Å³/cell
Density = 9.613 g/cm³
Energy = -4.4714 eV/atom

## Tm6AgBi2 (GGA-PBE)

Data for Tm6AgBi2 after structural relaxation.

a b c (Å): 6.4042 7.9826 10.1795
angles (deg): 90.00 89.93 90.00
Element x y z (fractional)
Tm (0.8480, 0.9669, 0.2355)
Tm (0.8666, 0.6598, 0.5411)
Tm (0.8821, 0.7099, 0.9561)
Tm (0.6179, 0.2099, 0.5439)
Tm (0.6334, 0.1598, 0.9589)
Tm (0.6520, 0.4669, 0.2645)
Tm (0.1520, 0.0331, 0.7645)
Tm (0.1334, 0.3402, 0.4589)
Tm (0.1179, 0.2901, 0.0439)
Tm (0.3821, 0.7901, 0.4561)
Tm (0.3666, 0.8402, 0.0411)
Tm (0.3480, 0.5331, 0.7355)
Ag (0.5000, 0.5000, 0.0000)
Ag (0.0000, 0.0000, 0.5000)
Bi (0.8911, 0.3841, 0.7621)
Bi (0.6089, 0.8841, 0.7379)
Bi (0.3911, 0.1159, 0.2621)
Bi (0.1089, 0.6159, 0.2379)

## Properties
Calculated volume = 520 Å³/cell
Density = 9.824 g/cm³
Energy = -4.4828 eV/atom

## Tm8Ag3Bi2 (GGA-PBE)

Data for Tm8Ag3Bi2 after structural relaxation.

a b c (Å): 6.2046 8.1064 8.4724
angles (deg): 118.58 91.37 90.00
Element x y z (fractional)
Tm (0.8603, 0.5861, 0.1722)
Tm (0.1397, 0.4139, 0.8278)
Tm (0.8909, 0.1794, 0.3588)
Tm (0.1091, 0.8206, 0.6412)
Tm (0.6489, 0.5961, 0.7832)
Tm (0.6489, 0.1870, 0.7832)
Tm (0.3511, 0.8130, 0.2168)
Tm (0.3511, 0.4039, 0.2168)
Ag (0.5000, 0.0000, 0.0000)
Ag (0.0000, 0.1720, 0.0000)
Ag (0.0000, 0.8280, 0.0000)
Bi (0.3948, 0.2396, 0.4793)
Bi (0.6052, 0.7604, 0.5207)

## Properties
Calculated volume = 374 Å³/cell
Density = 9.291 g/cm³
Energy = -4.1861 eV/atom

## Tm5AgBi2 (GGA-PBE)

Data for Tm5AgBi2 after structural relaxation.

a b c (Å): 5.5184 6.4652 14.5384
angles (deg): 90.00 90.00 115.26
Element x y z (fractional)
Tm (0.9299, 0.8599, 0.9025)
Tm (0.9299, 0.8599, 0.5975)
Tm (0.3819, 0.7637, 0.4463)
Tm (0.3819, 0.7637, 0.0537)
Tm (0.5827, 0.1653, 0.2500)
Tm (0.4173, 0.8347, 0.7500)
Tm (0.6181, 0.2363, 0.5537)
Tm (0.6181, 0.2363, 0.9463)
Tm (0.0701, 0.1401, 0.0975)
Tm (0.0701, 0.1401, 0.4025)
Ag (0.7485, 0.4971, 0.7500)
Ag (0.2515, 0.5029, 0.2500)
Bi (0.7923, 0.5846, 0.3829)
Bi (0.7923, 0.5846, 0.1171)
Bi (0.2077, 0.4154, 0.6171)
Bi (0.2077, 0.4154, 0.8829)

## Properties
Calculated volume = 469 Å³/cell
Density = 9.703 g/cm³
Energy = -4.3293 eV/atom

## Tm3AgBi (GGA-PBE)

Data for Tm3AgBi after structural relaxation.

a b c (Å): 5.4109 6.3535 8.5088
angles (deg): 90.00 89.99 90.00
Element x y z (fractional)
Tm (0.5000, 0.0000, 0.0000)
Tm (0.5000, 0.5000, 0.0000)
Tm (0.0000, 0.7500, 0.2514)
Tm (0.0000, 0.2500, 0.7486)
Tm (0.5000, 0.2500, 0.3623)
Tm (0.5000, 0.7500, 0.6377)
Ag (0.5000, 0.7500, 0.3047)
Ag (0.5000, 0.2500, 0.6953)
Bi (0.0000, 0.2500, 0.1457)
Bi (0.0000, 0.7500, 0.8543)

## Properties
Calculated volume = 293 Å³/cell
Density = 9.351 g/cm³
Energy = -4.2975 eV/atom